{
  "formula": "Cs3K5Na",
  "functional": "PBE-GGA",
  "state": "relaxed",
  "space_group": "P-62m",
  "relative_energy_mev_per_atom": 0.0,
  "delta_e_f_ev_per_atom": 0.023,
  "magmom_total_mub_per_cell": 0.00,
  "cell": [[11.423, 0.000, 0.000], [-5.711, 9.892, 0.000], [0.000, 0.000, 6.638]],
  "species": ["Cs", "Cs", "Cs", "K", "K", "K", "K", "K", "Na"],
  "fractional_positions": [[0.000, 0.600, 0.000], [0.400, 0.400, 0.000], [0.600, 0.000, 0.000], [0.000, 0.231, 0.500], [0.231, 0.000, 0.500], [0.333, 0.667, 0.500], [0.667, 0.333, 0.500], [0.769, 0.769, 0.500], [0.000, 0.000, 0.000]]
}

***

{
  "formula": "Cs2KNa9",
  "functional": "PBE-GGA",
  "state": "relaxed",
  "space_group": "R-3m",
  "delta_e_f_ev_per_atom": 0.021,
  "magmom_total_mub_per_cell": 0.00,
  "cell": [[3.746, 2.163, 12.413], [-3.746, 2.163, 12.413], [0.000, -4.326, 12.413]],
  "species": ["Cs", "Cs", "K", "Na", "Na", "Na", "Na", "Na", "Na", "Na", "Na", "Na"],
  "fractional_positions": [[0.140, 0.140, 0.140], [0.860, 0.860, 0.860], [0.000, 0.000, 0.000], [0.081, 0.579, 0.579], [0.333, 0.333, 0.333], [0.421, 0.421, 0.919], [0.421, 0.919, 0.421], [0.500, 0.500, 0.500], [0.579, 0.081, 0.579], [0.579, 0.579, 0.081], [0.667, 0.667, 0.667], [0.919, 0.421, 0.421]]
}

***

{
  "formula": "CsK6Na3",
  "functional": "PBE-GGA",
  "state": "relaxed",
  "space_group": "P2_1/m",
  "delta_e_f_ev_per_atom": 0.025,
  "magmom_total_mub_per_cell": 0.00,
  "cell": [[13.092, 0.000, 0.000], [0.000, 6.704, 0.000], [-2.085, 0.000, 14.722]],
  "species": ["Cs", "Cs", "K", "K", "K", "K", "K", "K", "K", "K", "K", "K", "K", "K", "Na", "Na", "Na", "Na", "Na", "Na"],
  "fractional_positions": [[0.068, 0.250, 0.256], [0.932, 0.750, 0.744], [0.147, 0.250, 0.688], [0.233, 0.750, 0.980], [0.332, 0.750, 0.299], [0.361, 0.250, 0.489], [0.382, 0.750, 0.689], [0.435, 0.250, 0.894], [0.565, 0.750, 0.106], [0.618, 0.250, 0.311], [0.639, 0.750, 0.511], [0.668, 0.250, 0.701], [0.767, 0.250, 0.020], [0.853, 0.750, 0.312], [0.063, 0.250, 0.954], [0.113, 0.750, 0.497], [0.352, 0.250, 0.138], [0.648, 0.750, 0.862], [0.887, 0.250, 0.503], [0.937, 0.750, 0.046]]
}

***

{
  "formula": "Cs2K2Na5",
  "functional": "PBE-GGA",
  "state": "relaxed",
  "space_group": "C2/m",
  "relative_energy_mev_per_atom": 33.0,
  "delta_e_f_ev_per_atom": 0.073,
  "magmom_total_mub_per_cell": 0.00,
  "cell": [[9.408, -2.245, 0.000], [9.408, 2.245, 0.000], [-7.859, 0.000, 12.984]],
  "species": ["Cs", "Cs", "K", "K", "Na", "Na", "Na", "Na", "Na"],
  "fractional_positions": [[0.110, 0.110, 0.355], [0.890, 0.890, 0.645], [0.358, 0.358, 0.112], [0.642, 0.642, 0.888], [0.277, 0.277, 0.795], [0.395, 0.395, 0.392], [0.500, 0.500, 0.000], [0.605, 0.605, 0.608], [0.723, 0.723, 0.205]]
}

***

{
  "formula": "Cs5K2Na2",
  "functional": "PBE-GGA",
  "state": "relaxed",
  "space_group": "Cmce",
  "delta_e_f_ev_per_atom": 0.028,
  "magmom_total_mub_per_cell": 0.00,
  "cell": [[13.019, -5.496, 0.000], [13.019, 5.496, 0.000], [0.000, 0.000, 11.036]],
  "species": ["Cs", "Cs", "Cs", "Cs", "Cs", "Cs", "Cs", "Cs", "Cs", "Cs", "K", "K", "K", "K", "Na", "Na", "Na", "Na"],
  "fractional_positions": [[0.000, 0.000, 0.000], [0.063, 0.692, 0.686], [0.192, 0.563, 0.186], [0.308, 0.937, 0.686], [0.437, 0.808, 0.186], [0.500, 0.500, 0.500], [0.563, 0.192, 0.814], [0.692, 0.063, 0.314], [0.808, 0.437, 0.814], [0.937, 0.308, 0.314], [0.232, 0.232, 0.000], [0.268, 0.268, 0.500], [0.732, 0.732, 0.500], [0.768, 0.768, 0.000], [0.112, 0.888, 0.388], [0.388, 0.612, 0.888], [0.612, 0.388, 0.112], [0.888, 0.112, 0.612]]
}

***

{
  "formula": "CsK4Na3",
  "functional": "PBE-GGA",
  "state": "relaxed",
  "space_group": "Pmma",
  "relative_energy_mev_per_atom": 0.0,
  "delta_e_f_ev_per_atom": 0.028,
  "magmom_total_mub_per_cell": 0.00,
  "cell": [[12.765, 0.000, 0.000], [0.000, 12.213, 0.000], [0.000, 0.000, 6.384]],
  "species": ["Cs", "Cs", "K", "K", "K", "K", "K", "K", "K", "K", "Na", "Na", "Na", "Na", "Na", "Na"],
  "fractional_positions": [[0.000, 0.000, 0.000], [0.500, 0.000, 0.000], [0.000, 0.285, 0.500], [0.000, 0.715, 0.500], [0.250, 0.285, 0.000], [0.250, 0.715, 0.000], [0.500, 0.285, 0.500], [0.500, 0.715, 0.500], [0.750, 0.285, 0.000], [0.750, 0.715, 0.000], [0.000, 0.500, 0.000], [0.250, 0.000, 0.500], [0.250, 0.500, 0.498], [0.500, 0.500, 0.000], [0.750, 0.000, 0.500], [0.750, 0.500, 0.502]]
}

***

{
  "formula": "CsK6Na",
  "functional": "PBE-GGA",
  "state": "relaxed",
  "space_group": "Cmmm",
  "relative_energy_mev_per_atom": 0.0,
  "delta_e_f_ev_per_atom": 0.014,
  "magmom_total_mub_per_cell": 0.00,
  "cell": [[5.058, -10.989, 0.000], [5.058, 10.989, 0.000], [0.000, 0.000, 20.616]],
  "species": ["Cs", "Cs", "Cs", "Cs", "K", "K", "K", "K", "K", "K", "K", "K", "K", "K", "K", "K", "K", "K", "K", "K", "K", "K", "K", "K", "K", "K", "K", "K", "Na", "Na", "Na", "Na"],
  "fractional_positions": [[0.000, 0.000, 0.226], [0.000, 0.000, 0.774], [0.238, 0.762, 0.500], [0.762, 0.238, 0.500], [0.000, 0.000, 0.000], [0.000, 0.000, 0.500], [0.130, 0.410, 0.113], [0.130, 0.410, 0.887], [0.163, 0.386, 0.358], [0.163, 0.386, 0.642], [0.242, 0.758, 0.251], [0.242, 0.758, 0.749], [0.386, 0.163, 0.358], [0.386, 0.163, 0.642], [0.410, 0.130, 0.113], [0.410, 0.130, 0.887], [0.500, 0.500, 0.000], [0.500, 0.500, 0.500], [0.590, 0.870, 0.113], [0.590, 0.870, 0.887], [0.614, 0.837, 0.358], [0.614, 0.837, 0.642], [0.758, 0.242, 0.251], [0.758, 0.242, 0.749], [0.837, 0.614, 0.358], [0.837, 0.614, 0.642], [0.870, 0.590, 0.113], [0.870, 0.590, 0.887], [0.238, 0.762, 0.000], [0.500, 0.500, 0.220], [0.500, 0.500, 0.780], [0.762, 0.238, 0.000]]
}

***

{
  "formula": "Cs3K7Na4",
  "functional": "PBE-GGA",
  "state": "relaxed",
  "space_group": "C2/m",
  "delta_e_f_ev_per_atom": 0.023,
  "magmom_total_mub_per_cell": 0.00,
  "cell": [[12.049, -3.318, 0.000], [12.049, 3.318, 0.000], [-9.341, 0.000, 12.438]],
  "species": ["Cs", "Cs", "Cs", "K", "K", "K", "K", "K", "K", "K", "Na", "Na", "Na", "Na"],
  "fractional_positions": [[0.000, 0.000, 0.000], [0.305, 0.305, 0.291], [0.695, 0.695, 0.709], [0.000, 0.000, 0.500], [0.166, 0.166, 0.427], [0.316, 0.316, 0.981], [0.485, 0.485, 0.694], [0.515, 0.515, 0.306], [0.684, 0.684, 0.019], [0.834, 0.834, 0.573], [0.106, 0.106, 0.827], [0.341, 0.341, 0.748], [0.659, 0.659, 0.252], [0.894, 0.894, 0.173]]
}